Entry 1
Here is crystalline BaErCo at its relaxed geometry from OQMD. Energies are from GGA-PBE.

Computed properties:
calculated volume: 28.95 A^3/atom

a = 4.971 Å, b = 4.971 Å, c = 4.971 Å
α = 60.00°, β = 60.00°, γ = 60.00°
Positions (direct):
Ba  0.000  0.000  0.000
Er  0.500  0.500  0.500
Co  0.250  0.250  0.250

***

Entry 2
Here is crystalline BaErCo at its relaxed geometry from OQMD. Energies are from GGA-PBE.

Computed properties:
calculated volume: 27.50 A^3/atom

a = 4.886 Å, b = 4.886 Å, c = 4.886 Å
α = 60.00°, β = 60.00°, γ = 60.00°
Positions (direct):
Ba  0.000  0.000  0.000
Er  0.250  0.250  0.250
Co  0.750  0.750  0.750

***

Which structure is most stable? entry 1, by 865 meV/atom over the runner-up.

***

Entry 1
Here is crystalline BaFeCoSe3 at its relaxed geometry from OQMD. Energies are from GGA-PBE.

Computed properties:
calculated volume: 22.42 A^3/atom

a = 7.222 Å, b = 7.222 Å, c = 9.706 Å
α = 90.00°, β = 90.00°, γ = 147.89°
Positions (direct):
Ba  0.248  0.752  0.750
Ba  0.752  0.248  0.250
Fe  0.000  0.000  0.000
Fe  0.000  0.000  0.500
Co  0.473  0.527  0.250
Co  0.527  0.473  0.750
Se  0.060  0.940  0.250
Se  0.377  0.623  0.049
Se  0.377  0.623  0.451
Se  0.623  0.377  0.549
Se  0.623  0.377  0.951
Se  0.940  0.060  0.750

***

Entry 2
Here is crystalline BaFeCoSe3 at its relaxed geometry from OQMD. Energies are from GGA-PBE.

Computed properties:
calculated volume: 22.22 A^3/atom

a = 7.298 Å, b = 7.298 Å, c = 9.372 Å
α = 90.00°, β = 90.00°, γ = 147.71°
Positions (direct):
Ba  0.239  0.761  0.750
Ba  0.761  0.239  0.250
Fe  0.476  0.524  0.250
Fe  0.524  0.476  0.750
Co  0.000  0.000  0.000
Co  0.000  0.000  0.500
Se  0.067  0.933  0.250
Se  0.382  0.618  0.040
Se  0.382  0.618  0.460
Se  0.618  0.382  0.540
Se  0.618  0.382  0.960
Se  0.933  0.067  0.750

***

Which structure is most stable? entry 1, by 6 meV/atom over the runner-up.

***

Entry 1
Here is crystalline BaCoHgS3 at its relaxed geometry from OQMD. Energies are from GGA-PBE.

Computed properties:
calculated volume: 23.30 A^3/atom

a = 7.173 Å, b = 7.173 Å, c = 10.089 Å
α = 90.00°, β = 90.00°, γ = 147.41°
Positions (direct):
Ba  0.238  0.762  0.750
Ba  0.762  0.238  0.250
Co  0.000  0.000  0.000
Co  0.000  0.000  0.500
Hg  0.477  0.523  0.250
Hg  0.523  0.477  0.750
S  0.088  0.912  0.250
S  0.379  0.621  0.041
S  0.379  0.621  0.459
S  0.621  0.379  0.541
S  0.621  0.379  0.959
S  0.912  0.088  0.750

***

Entry 2
Here is crystalline BaCoHgS3 at its relaxed geometry from OQMD. Energies are from GGA-PBE.

Computed properties:
calculated volume: 23.80 A^3/atom

a = 6.890 Å, b = 6.890 Å, c = 10.703 Å
α = 90.00°, β = 90.00°, γ = 145.79°
Positions (direct):
Ba  0.240  0.760  0.750
Ba  0.760  0.240  0.250
Co  0.038  0.962  0.250
Co  0.962  0.038  0.750
Hg  0.500  0.500  0.000
Hg  0.500  0.500  0.500
S  0.133  0.867  0.074
S  0.133  0.867  0.426
S  0.448  0.552  0.250
S  0.552  0.448  0.750
S  0.867  0.133  0.574
S  0.867  0.133  0.926

***

Which structure is most stable? entry 2, by 168 meV/atom over the runner-up.

***

Entry 1
Here is crystalline BaCoHgTe3 at its relaxed geometry from OQMD. Energies are from GGA-PBE.

Computed properties:
calculated volume: 30.41 A^3/atom

a = 7.069 Å, b = 7.069 Å, c = 12.135 Å
α = 90.00°, β = 90.00°, γ = 143.00°
Positions (direct):
Ba  0.203  0.797  0.750
Ba  0.797  0.203  0.250
Co  0.090  0.910  0.250
Co  0.910  0.090  0.750
Hg  0.500  0.500  0.000
Hg  0.500  0.500  0.500
Te  0.168  0.832  0.065
Te  0.168  0.832  0.435
Te  0.490  0.510  0.750
Te  0.510  0.490  0.250
Te  0.832  0.168  0.565
Te  0.832  0.168  0.935

***

Entry 2
Here is crystalline BaCoHgTe3 at its relaxed geometry from OQMD. Energies are from GGA-PBE.

Computed properties:
calculated volume: 31.31 A^3/atom

a = 7.725 Å, b = 7.725 Å, c = 12.017 Å
α = 90.00°, β = 90.00°, γ = 148.40°
Positions (direct):
Ba  0.211  0.789  0.750
Ba  0.789  0.211  0.250
Co  0.000  0.000  0.000
Co  0.000  0.000  0.500
Hg  0.481  0.519  0.250
Hg  0.519  0.481  0.750
Te  0.108  0.892  0.250
Te  0.392  0.608  0.039
Te  0.392  0.608  0.461
Te  0.608  0.392  0.539
Te  0.608  0.392  0.961
Te  0.892  0.108  0.750

***

Which structure is most stable? entry 1, by 111 meV/atom over the runner-up.